No. 1
VASP calculation (GGA-PBEsol) on an optimized crystal structure of BaRu.

Geometry as POSCAR:
```
BaRu
1.0
4.166 0.000 0.000
0.000 4.527 0.000
0.000 0.000 7.698
Ru Ba
2 2
Direct
0.250 0.500 0.935
0.750 0.500 0.065
0.750 0.000 0.765
0.250 0.000 0.235
```

Calculated values
DFT total energy ... -5.629 eV/atom
Calculated formation energy ... 0.53 eV/atom
Symmetry ... Pmma, No. 51


No. 2
VASP calculation (GGA-PBEsol) on an optimized crystal structure of Ba2Ru.

Geometry as POSCAR:
```
Ba2Ru
1.0
6.271 -0.003 0.000
-2.558 5.726 0.000
-1.856 -2.861 5.263
Ru Ba
2 4
Direct
0.250 0.250 0.000
0.750 0.750 0.000
0.815 0.685 0.500
0.185 0.315 0.500
0.685 0.185 0.870
0.315 0.815 0.130
```

Calculated values
DFT total energy ... -4.264 eV/atom
Calculated formation energy ... 0.56 eV/atom
Symmetry ... I4/mcm, No. 140


No. 3
VASP calculation (GGA-PBEsol) on an optimized crystal structure of Ba3Ru.

Geometry as POSCAR:
```
Ba3Ru
1.0
-0.572 -0.789 4.329
2.517 -3.021 2.056
7.538 5.989 4.361
Ba Ru
3 1
Direct
0.718 0.718 0.847
0.500 0.500 0.500
0.282 0.282 0.153
0.000 0.000 0.000
```

Calculated values
DFT total energy ... -3.616 eV/atom
Calculated formation energy ... 0.54 eV/atom
Symmetry ... R-3m, No. 166


No. 4
VASP calculation (GGA-PBEsol) on an optimized crystal structure of Ba3Ru2.

Geometry as POSCAR:
```
Ba3Ru2
1.0
-1.986 3.796 -2.443
-4.124 2.125 1.676
2.741 7.516 4.473
Ba Ru
3 2
Direct
0.000 0.000 0.000
0.236 0.236 0.293
0.764 0.764 0.707
0.655 0.655 0.035
0.345 0.345 0.965
```

Calculated values
DFT total energy ... -4.674 eV/atom
Calculated formation energy ... 0.68 eV/atom
Symmetry ... R-3m, No. 166


No. 5
VASP calculation (GGA-PBEsol) on an optimized crystal structure of BaRu.

Geometry as POSCAR:
```
BaRu
1.0
-0.959 2.644 -1.507
-3.662 -0.873 0.800
0.605 4.749 7.948
Ru Ba
2 2
Direct
0.000 0.500 0.967
0.500 0.000 0.033
0.000 0.000 0.713
0.500 0.500 0.287
```

Calculated values
DFT total energy ... -5.501 eV/atom
Calculated formation energy ... 0.66 eV/atom
Symmetry ... Pmmn, No. 59


No. 6
VASP calculation (GGA-PBEsol) on an optimized crystal structure of BaSb2Ru2.

Geometry as POSCAR:
```
BaSb2Ru2
1.0
-1.116 3.153 -2.945
-4.288 -0.476 1.116
3.332 2.793 5.098
Ru Sb Ba
2 2 1
Direct
0.250 0.750 0.500
0.750 0.250 0.500
0.359 0.359 0.718
0.641 0.641 0.282
0.000 0.000 0.000
```

Calculated values
DFT total energy ... -6.728 eV/atom
E_form (uncorrected) ... -406 meV per atom
Symmetry ... I4/mmm, No. 139


No. 7
VASP calculation (GGA-PBEsol) on an optimized crystal structure of Ba2SbRu2.

Geometry as POSCAR:
```
Ba2SbRu2
1.0
-0.502 2.927 -4.942
1.938 -5.405 -0.521
-4.963 -1.150 2.700
Ru Ba Sb
2 2 1
Direct
0.000 0.349 0.349
0.000 0.651 0.651
0.500 0.750 0.250
0.500 0.250 0.750
0.000 0.000 0.000
```

Calculated values
DFT total energy ... -5.380 eV/atom
E_form (uncorrected) ... 460 meV per atom
Symmetry ... I4/mmm, No. 139


No. 8
VASP calculation (GGA-PBEsol) on an optimized crystal structure of BaSbRu.

Geometry as POSCAR:
```
BaSbRu
1.0
5.020 0.000 0.000
2.510 4.347 0.000
2.510 1.449 4.099
Ru Sb Ba
1 1 1
Direct
0.500 0.500 0.500
0.250 0.250 0.250
0.000 0.000 0.000
```

Calculated values
DFT total energy ... -5.012 eV/atom
E_form (uncorrected) ... 615 meV per atom
Symmetry ... F-43m, No. 216